Sn2Hg4Te | GGA-PBE | optimized geometry

The structure belongs to space group I4/mmm (No. 139); the cell edges are 5.796, 5.796 and 14.719 Å and the angles 90.00°, 90.00° and 90.00°. The inequivalent atoms are Sn at (0.000, 0.000, 0.101), Hg at (0.000, 0.000, 0.296), Hg at (0.000, 0.500, 0.000) and Te at (0.000, 0.000, 0.500).

Its total magnetic moment is 0.000 μB/f.u. For the uncorrected formation energy, the calculation gives 265 meV per atom.

=====

SnHgTe2 | GGA-PBE | optimized geometry

The structure belongs to space group R-3m (No. 166, hexagonal axes); the cell edges are 4.1088, 4.1088 and 34.4939 Å and the angles 90.00°, 90.00° and 120.00°. The inequivalent atoms are Sn at (0.0000, 0.0000, 0.0000), Hg at (0.0000, 0.0000, 0.5000) and Te at (0.0000, 0.0000, 0.3853).

Its total magnetic moment is 0.000 μB/f.u. For the uncorrected formation energy, the calculation gives -35 meV per atom.

=====

What did the first record say?
Sn2Hg4Te | GGA-PBE | optimized geometry

The structure belongs to space group I4/mmm (No. 139); the cell edges are 5.796, 5.796 and 14.719 Å and the angles 90.00°, 90.00° and 90.00°. The inequivalent atoms are Sn at (0.000, 0.000, 0.101), Hg at (0.000, 0.000, 0.296), Hg at (0.000, 0.500, 0.000) and Te at (0.000, 0.000, 0.500).

Its total magnetic moment is 0.000 μB/f.u. For the uncorrected formation energy, the calculation gives 265 meV per atom.

=====

Please write out number 2 again, unchanged.
SnHgTe2 | GGA-PBE | optimized geometry

The structure belongs to space group R-3m (No. 166, hexagonal axes); the cell edges are 4.1088, 4.1088 and 34.4939 Å and the angles 90.00°, 90.00° and 120.00°. The inequivalent atoms are Sn at (0.0000, 0.0000, 0.0000), Hg at (0.0000, 0.0000, 0.5000) and Te at (0.0000, 0.0000, 0.3853).

Its total magnetic moment is 0.000 μB/f.u. For the uncorrected formation energy, the calculation gives -35 meV per atom.